The following is a DFT calculation (GGA+U) of HfFeO3 after structural relaxation.

## Properties
**Space-group type**: Cc (9)
**Calculated total energy**: -8.7523 eV/atom
**Fermi-level density of states**: 0.00 states/eV per cell

a b c (Å): 5.6928 5.3838 5.3646
angles (deg): 120.12 117.53 90.00
Sites, in units of the cell vectors:
O (0.7137, 0.6219, 0.0008)
O (0.2251, 0.7210, 0.6065)
O (0.2341, 0.1081, 0.3395)
O (0.7341, 0.2314, 0.3395)
O (0.7251, 0.8856, 0.6065)
O (0.2137, 0.3789, 0.0008)
Hf (0.0208, 0.0029, 0.5109)
Hf (0.5208, 0.5080, 0.5109)
Fe (0.3935, 0.7958, 0.0984)
Fe (0.8935, 0.3026, 0.0984)